Below is an optimized crystal structure of CaS2BrN, with properties calculated at the GGA-PBE level.

The structure belongs to space group P4/mmm (No. 123); the cell edges are 5.071, 5.071 and 3.878 Å and the angles 90.00°, 90.00° and 90.00°. The asymmetric unit holds Ca at (0.000, 0.000, 0.000), S at (0.000, 0.500, 0.500), Br at (0.500, 0.500, 0.500) and N at (0.500, 0.500, 0.000).

For the energy above the most stable polymorph in this dataset, the calculation gives 0 meV/atom. The uncorrected formation energy is 0.53 eV per atom.


Below is an optimized crystal structure of Ca4SBr2N, with properties calculated at the GGA-PBE level.

The structure belongs to space group P2/m (No. 10); the cell edges are 6.890, 3.888 and 7.290 Å and the angles 90.00°, 107.76° and 90.00°. The asymmetric unit holds Ca at (0.202, 0.000, 0.185), Ca at (0.234, 0.500, 0.806), S at (0.500, 0.000, 0.000), Br at (0.000, 0.000, 0.500), Br at (0.500, 0.500, 0.500) and N at (0.000, 0.500, 0.000).

The uncorrected formation energy is -1.54 eV per atom.


Below is an optimized crystal structure of Ca6S2Br3N, with properties calculated at the GGA-PBE level.

The structure belongs to space group C2/m (No. 12); the cell edges are 6.906, 11.953 and 7.311 Å and the angles 90.00°, 108.31° and 90.00°. The asymmetric unit holds Ca at (0.215, 0.150, 0.194), Ca at (0.236, 0.000, 0.803), S at (0.000, 0.334, 0.000), Br at (0.000, 0.170, 0.500), Br at (0.000, 0.500, 0.500) and N at (0.000, 0.000, 0.000).

The uncorrected formation energy is -1.61 eV per atom.


Below is an optimized crystal structure of Ca6SBr3N2, with properties calculated at the GGA-PBE level.

The structure belongs to space group C2/m (No. 12); the cell edges are 6.672, 11.551 and 7.293 Å and the angles 90.00°, 107.80° and 90.00°. The asymmetric unit holds Ca at (0.197, 0.000, 0.185), Ca at (0.245, 0.317, 0.187), S at (0.000, 0.500, 0.000), Br at (0.000, 0.000, 0.500), Br at (0.000, 0.339, 0.500) and N at (0.000, 0.167, 0.000).

The uncorrected formation energy is -1.50 eV per atom.


Below is an optimized crystal structure of CaSe2BrN, with properties calculated at the GGA-PBE level.

The structure belongs to space group P4/mmm (No. 123); the cell edges are 5.714, 5.714 and 4.433 Å and the angles 90.00°, 90.00° and 90.00°. The asymmetric unit holds Ca at (0.000, 0.000, 0.000), Se at (0.000, 0.500, 0.000), Br at (0.500, 0.500, 0.500) and N at (0.000, 0.000, 0.500).

For the energy above the most stable polymorph in this dataset, the calculation gives 919 meV/atom. The uncorrected formation energy is 0.91 eV per atom.


Below is an optimized crystal structure of CaSe2BrN, with properties calculated at the GGA-PBE level.

The structure belongs to space group P4/mmm (No. 123); the cell edges are 4.417, 4.417 and 5.114 Å and the angles 90.00°, 90.00° and 90.00°. The asymmetric unit holds Ca at (0.000, 0.000, 0.000), Se at (0.000, 0.500, 0.500), Br at (0.500, 0.500, 0.000) and N at (0.500, 0.500, 0.500).

For the energy above the most stable polymorph in this dataset, the calculation gives 0 meV/atom. The uncorrected formation energy is -0.01 eV per atom.